Record 1
Computed, not measured: crystalline Cr2TeAs2 at its relaxed geometry at the PBE level of DFT.

Unit cell a=7.5027 b=7.5027 c=3.0932 alpha=90.00 beta=90.00 gamma=90.00
Last column: nearest neighbours and their distance in Å.
Atoms (fractional coordinates):
1 Cr 0.1428 0.3572 0.0000  6 As 2.61-2.79, 2 Te 2.89
2 Cr 0.3572 0.8572 0.0000  6 As 2.61-2.79, 2 Te 2.89
3 Cr 0.6428 0.1428 0.0000  6 As 2.61-2.79, 2 Te 2.89
4 Cr 0.8572 0.6428 0.0000  6 As 2.61-2.79, 2 Te 2.89
5 Te 0.0000 0.0000 0.0000  4 Cr 2.89, 2 Te 3.09
6 Te 0.5000 0.5000 0.0000  4 Cr 2.89, 2 Te 3.09
7 As 0.1378 0.6378 0.5000  6 Cr 2.61-2.79, 1 As 2.92
8 As 0.3622 0.1378 0.5000  6 Cr 2.61-2.79, 1 As 2.92
9 As 0.6378 0.8622 0.5000  6 Cr 2.61-2.79, 1 As 2.92
10 As 0.8622 0.3622 0.5000  6 Cr 2.61-2.79, 1 As 2.92

Output
Uncorrected energy: -6.232 eV/atom

***

Record 2
Computed, not measured: crystalline Cr2TeAs at its relaxed geometry at the PBE level of DFT.

Unit cell a=9.8937 b=9.8937 c=9.8937 alpha=17.84 beta=17.84 gamma=17.84
Last column: nearest neighbours and their distance in Å.
Atoms (fractional coordinates):
1 Cr 0.0000 0.0000 0.0000  3 Cr 2.47
2 Cr 0.2743 0.2743 0.2743  3 Cr 2.47, 3 As 2.57
3 Te 0.7401 0.7401 0.7401  3 Cr 2.78, 6 Te 3.07
4 As 0.5440 0.5440 0.5440  3 Cr 2.57

Output
Uncorrected energy: -6.441 eV/atom
Energy relative to the lowest polymorph listed for this composition: 0.336 eV per atom

***

Record 3
Computed, not measured: crystalline CrTeAs2 at its relaxed geometry at the PBE level of DFT.

Unit cell a=4.8432 b=4.8432 c=4.8432 alpha=109.20 beta=109.20 gamma=110.01
Last column: nearest neighbours and their distance in Å.
Atoms (fractional coordinates):
1 Cr 0.0000 0.0000 0.0000  2 Te 2.78, 4 As 2.81
2 Te 0.5000 0.5000 0.0000  2 Cr 2.78, 4 As 2.81
3 As 0.0000 0.5000 0.5000  2 As 2.78, 2 Cr 2.81, 2 Te 2.81
4 As 0.5000 0.0000 0.5000  2 As 2.78, 2 Cr 2.81, 2 Te 2.81

Output
Uncorrected energy: -5.334 eV/atom

***

Record 4
Computed, not measured: crystalline CrTeAs2 at its relaxed geometry at the PBE level of DFT.

Unit cell a=4.3025 b=4.3025 c=6.8463 alpha=99.28 beta=99.28 gamma=44.93
Last column: nearest neighbours and their distance in Å.
Atoms (fractional coordinates):
1 Cr 0.0000 0.0000 0.0000  5 As 2.40-2.65
2 Te 0.7181 0.7181 0.2518  3 Cr 2.76-3.06, 2 As 3.02
3 As 0.2745 0.2745 0.8982  1 As 2.38, 3 Cr 2.40-2.44
4 As 0.4879 0.4879 0.6948  1 As 2.38, 2 Cr 2.65

Output
Uncorrected energy: -5.387 eV/atom